The following is a DFT calculation (PBE) of crystalline HgTeI2O at its relaxed geometry. Values from VASP.

Values from the calculation:
N(E_F), states/eV/f.u.: 6.599
Energy relative to the lowest polymorph listed for this composition, kcal/mol of atoms: 12.38
Formation energy from raw total energies, eV per atom: 0.382

```
&SYSTEM
  ibrav = 0, nat = 5, ntyp = 4
/
ATOMIC_SPECIES
Hg 200.59 Hg.upf
Te 127.60 Te.upf
I 126.90 I.upf
O 16.00 O.upf
CELL_PARAMETERS angstrom
6.087 0.000 0.000
0.000 6.087 0.000
0.000 0.000 4.039
ATOMIC_POSITIONS crystal
Hg 0.000 0.000 0.000
Te 0.500 0.500 0.500
I 0.000 0.500 0.000
I 0.500 0.000 0.000
O 0.000 0.000 0.500
```